Record 1
12
Lattice="-1.025 3.539 3.464 2.020 -4.414 1.416 12.243 5.095 -1.583" Properties=species:S:1:pos:R:3 comment="Li2PrMg3 | the Alexandria database | GGA-PBE | relaxed" spacegroup="No. 194" total_energy_ev_per_atom=-2.2433 formation_energy_ev_per_atom=-0.0114 de_polymorph_ev_per_atom=0.0417 pbc="T T T"
Mg 5.635 0.163 1.500
Mg 0.000 0.000 0.000
Mg 2.497 -1.143 1.906
Mg 7.603 4.056 1.797
Mg 6.122 2.547 -0.791
Mg 10.742 5.362 1.391
Li 1.229 1.403 2.621
Li 12.009 2.816 0.676
Li 4.873 2.919 2.150
Li 8.366 1.300 1.147
Pr 3.061 1.274 -0.396
Pr 9.182 3.821 -1.187

Record 2
8
Lattice="6.337 0.000 0.000 0.000 6.337 0.000 3.169 3.169 4.142" Properties=species:S:1:pos:R:3 comment="Ga2FeAs | the Alexandria database | GGA-PBE | relaxed" spacegroup="No. 122" total_energy_ev_per_atom=-4.3432 formation_energy_ev_per_atom=0.4483 pbc="T T T"
Ga 1.597 4.753 1.035
Ga 4.741 1.584 1.035
Ga 4.753 4.766 3.106
Ga 7.922 7.909 3.106
Fe 3.169 6.337 2.071
Fe 3.169 3.169 0.000
As 6.337 3.169 2.071
As 0.000 0.000 0.000

Record 3
24
Lattice="3.807 0.000 0.000 0.000 12.354 -5.161 0.000 0.109 13.388" Properties=species:S:1:pos:R:3 comment="Pr11In9Co4 | the Alexandria database | GGA-PBE | relaxed" spacegroup="No. 65" total_energy_ev_per_atom=-4.7792 formation_energy_ev_per_atom=-0.3773 pbc="T T T"
In 1.903 1.044 2.539
In 1.903 10.377 0.604
In 1.903 9.718 8.265
In 1.903 6.231 4.114
In 1.903 2.745 -0.037
In 1.903 11.419 5.688
In 1.903 7.829 -1.077
In 1.903 4.633 9.304
In 1.903 2.086 7.623
Co 1.903 6.902 7.269
Co 1.903 5.561 0.958
Co 1.903 3.066 4.737
Co 1.903 9.397 3.490
Pr 0.000 4.701 6.431
Pr 0.000 5.175 -1.070
Pr 0.000 3.918 2.587
Pr 0.000 1.050 5.179
Pr 0.000 2.096 10.378
Pr 0.000 7.761 1.796
Pr 0.000 8.544 5.640
Pr 0.000 10.367 -2.151
Pr 0.000 11.413 3.048
Pr 0.000 7.288 9.297
Pr 0.000 0.000 0.000

Record 4
16
Lattice="7.881 0.000 0.000 -3.944 6.823 0.000 0.000 0.000 6.745" Properties=species:S:1:pos:R:3 comment="Be3Tl5 | the Alexandria database | GGA-PBE | relaxed" spacegroup="No. 193" total_energy_ev_per_atom=-2.2788 formation_energy_ev_per_atom=0.5975 de_polymorph_ev_per_atom=0.1301 pbc="T T T"
Tl 5.890 0.000 5.059
Tl -0.996 1.724 1.686
Tl 0.996 1.725 5.059
Tl 3.939 2.274 0.000
Tl 3.939 2.274 3.372
Tl -0.002 4.549 0.000
Tl 1.991 0.000 1.686
Tl -0.002 4.549 3.372
Tl 2.942 5.098 1.686
Tl -2.947 5.099 5.059
Be -2.432 4.208 1.686
Be 2.428 4.208 5.059
Be -1.511 2.615 5.059
Be 1.509 2.615 1.686
Be 3.020 0.000 5.059
Be 4.861 0.000 1.686

Record 5
18
Lattice="3.300 0.000 0.000 -1.650 6.991 0.000 0.000 0.000 10.042" Properties=species:S:1:pos:R:3 comment="Er2PuGeN5 | the Alexandria database | GGA-PBE | relaxed" spacegroup="No. 36" total_energy_ev_per_atom=-8.7359 e_form_raw_ev_per_atom=-0.9912 pbc="T T T"
Pu 1.650 3.996 5.056
Pu 0.000 2.996 0.035
N 0.000 0.705 0.525
N 1.650 2.785 8.661
N 0.000 4.207 3.640
N 1.650 1.760 5.146
N 1.650 0.024 2.879
N 0.000 5.231 0.125
N 1.650 2.966 1.486
N 0.000 6.968 7.900
N 0.000 4.025 6.507
N 1.650 6.287 5.547
Ge 1.650 0.099 9.763
Ge 0.000 6.892 4.742
Er 0.000 1.760 2.900
Er 0.000 1.562 7.005
Er 1.650 5.231 7.921
Er 1.650 5.429 1.984

Record 6
6
Lattice="-2.520 -0.503 3.051 1.269 -3.757 0.429 3.608 1.588 3.242" Properties=species:S:1:pos:R:3 comment="ScBe2SiNi2 | the Alexandria database | GGA-PBE | relaxed" spacegroup="No. 123" total_energy_ev_per_atom=-4.9931 e_form_raw_ev_per_atom=0.1352 pbc="T T T"
Sc 1.804 0.794 1.621
Ni 2.076 -0.941 4.167
Ni 0.282 -1.731 2.555
Be -1.260 -0.251 1.526
Be 0.634 -1.879 0.214
Si 0.000 0.000 0.000

Record 7
14
Lattice="-4.017 -5.188 -1.823 5.731 1.545 -3.340 3.537 -3.392 7.719" Properties=species:S:1:pos:R:3 comment="Ti2BrCl4 | the Alexandria database | GGA-PBE | relaxed" spacegroup="No. 5" total_energy_ev_per_atom=-4.8935 e_form_raw_ev_per_atom=-1.3436 pbc="T T T"
Cl 3.369 -0.673 -2.113
Cl 1.317 -3.595 -2.046
Cl -1.044 -4.973 0.210
Cl 4.293 -4.203 3.521
Cl -1.605 -7.024 2.795
Cl 1.796 -2.986 1.075
Cl 1.698 -5.971 5.223
Cl 1.781 -6.198 2.014
Ti 1.915 -4.173 3.305
Ti 3.450 -3.104 -1.093
Ti -0.326 -2.801 -0.476
Ti 4.831 -2.650 5.278
Br 0.141 -0.297 -0.421
Br 5.201 -2.132 0.479

What did the second record say?
8
Lattice="6.337 0.000 0.000 0.000 6.337 0.000 3.169 3.169 4.142" Properties=species:S:1:pos:R:3 comment="Ga2FeAs | the Alexandria database | GGA-PBE | relaxed" spacegroup="No. 122" total_energy_ev_per_atom=-4.3432 formation_energy_ev_per_atom=0.4483 pbc="T T T"
Ga 1.597 4.753 1.035
Ga 4.741 1.584 1.035
Ga 4.753 4.766 3.106
Ga 7.922 7.909 3.106
Fe 3.169 6.337 2.071
Fe 3.169 3.169 0.000
As 6.337 3.169 2.071
As 0.000 0.000 0.000